MoAs2Os: relaxed, PBE.

The structure in CIF format:
```
data_MoAs2Os
_space_group_name_H-M_alt 'F -4 3 m'
_space_group_IT_number 216
_space_group_name_Hall 'F -4 2 3'
_cell_length_a 6.362
_cell_length_b 6.362
_cell_length_c 6.362
_cell_angle_alpha 90.00
_cell_angle_beta 90.00
_cell_angle_gamma 90.00
loop_
_atom_site_label
_atom_site_fract_x
_atom_site_fract_y
_atom_site_fract_z
Mo1 0.000 0.000 0.000
As1 0.000 0.000 0.500
As2 0.250 0.250 0.750
Os1 0.250 0.250 0.250
```

Properties
Its formation energy from the elements is 0.62 eV/atom. The total energy is -7.2194 eV/atom. Its relative energy among the computed polymorphs is 231.4 kJ/mol of formula units.